1.
The following is a PBE-GGA calculation of crystalline Sr2Ga12Cu7 at its relaxed geometry, from the Alexandria database.

The formation energy from the elements comes out at -193 meV per atom.

It has space group P-3 (No. 147), with a = 10.1429 Å, b = 10.1429 Å, c = 4.1328 Å, α = 90.00°, β = 90.00° and γ = 120.00°. The inequivalent atoms are Sr at (0.3333, 0.6667, 0.2573), Ga at (0.0574, 0.4352, 0.7488), Ga at (0.1236, 0.2624, 0.2511), Cu at (0.0000, 0.0000, 0.5000) and Cu at (0.1081, 0.7062, 0.7578).



2.
The following is a PBE-GGA calculation of crystalline KNb3Re at its relaxed geometry, from the Alexandria database.

The formation energy from the elements comes out at 2841 meV per atom. The calculation puts the excess energy over the best structure of this formula in the dataset at 1589 meV/atom.

It has space group Pm-3m (No. 221), with a = 4.541 Å, b = 4.541 Å, c = 4.541 Å, α = 90.00°, β = 90.00° and γ = 90.00°. The inequivalent atoms are K at (0.000, 0.000, 0.000), Nb at (0.000, 0.000, 0.500) and Re at (0.500, 0.500, 0.500).



3.
The following is a PBE-GGA calculation of crystalline Zn3ReAu at its relaxed geometry, from the Alexandria database.

The formation energy from the elements comes out at 1103 meV per atom. The calculation puts the excess energy over the best structure of this formula in the dataset at 0 meV/atom.

It has space group Pm-3m (No. 221), with a = 4.847 Å, b = 4.847 Å, c = 4.847 Å, α = 90.00°, β = 90.00° and γ = 90.00°. The inequivalent atoms are Zn at (0.000, 0.000, 0.500), Re at (0.000, 0.000, 0.000) and Au at (0.500, 0.500, 0.500).



4.
The following is a PBE-GGA calculation of crystalline La2Pd7 at its relaxed geometry, from the Alexandria database.

The formation energy from the elements comes out at -693 meV per atom.

It has space group R-3m (No. 166, hexagonal axes), with a = 5.4297 Å, b = 5.4297 Å, c = 41.0593 Å, α = 90.00°, β = 90.00° and γ = 120.00°. The inequivalent atoms are La at (0.0000, 0.0000, 0.0490), La at (0.0000, 0.0000, 0.1459), Pd at (0.0000, 0.0000, 0.2773), Pd at (0.0000, 0.0000, 0.3892), Pd at (0.0000, 0.0000, 0.5000), Pd at (0.0000, 0.5000, 0.0000) and Pd at (0.0024, 0.5012, 0.8883).



5.
The following is a PBE-GGA calculation of crystalline RbPdPb3 at its relaxed geometry, from the Alexandria database.

The formation energy from the elements comes out at -188 meV per atom. The calculation puts the excess energy over the best structure of this formula in the dataset at 0 meV/atom.

It has space group Pnma (No. 62), with a = 9.671 Å, b = 4.765 Å, c = 13.286 Å, α = 90.00°, β = 90.00° and γ = 90.00°. The inequivalent atoms are Rb at (0.174, 0.250, 0.001), Pd at (0.082, 0.250, 0.356), Pb at (0.067, 0.250, 0.582), Pb at (0.130, 0.750, 0.220) and Pb at (0.133, 0.750, 0.788).



6.
The following is a PBE-GGA calculation of crystalline LaPuCu2O8 at its relaxed geometry, from the Alexandria database.

The calculation puts the total DFT energy (no corrections) at -7.13 eV per atom.

It has space group I-4m2 (No. 119), with a = 6.908 Å, b = 6.908 Å, c = 6.885 Å, α = 90.00°, β = 90.00° and γ = 90.00°. The inequivalent atoms are La at (0.000, 0.000, 0.000), Pu at (0.000, 0.500, 0.250), Cu at (0.000, 0.000, 0.500), Cu at (0.000, 0.500, 0.750), O at (0.000, 0.213, 0.310) and O at (0.000, 0.333, 0.955).



7.
The following is a PBE-GGA calculation of crystalline La3H12Ir5 at its relaxed geometry, from the Alexandria database.

The calculation puts the total DFT energy (no corrections) at -5.17 eV per atom.

It has space group Ia-3d (No. 230), with a = 12.031 Å, b = 12.031 Å, c = 12.031 Å, α = 90.00°, β = 90.00° and γ = 90.00°. The inequivalent atoms are La at (0.000, 0.250, 0.125), H at (0.045, 0.134, 0.954), Ir at (0.000, 0.000, 0.000) and Ir at (0.000, 0.250, 0.375).



8.
The following is a PBE-GGA calculation of crystalline Ba3Tb3PrTe8 at its relaxed geometry, from the Alexandria database.

The calculation puts the total DFT energy (no corrections) at -4.85 eV per atom.

It has space group R-3m (No. 166, hexagonal axes), with a = 9.0634 Å, b = 9.0634 Å, c = 23.9107 Å, α = 90.00°, β = 90.00° and γ = 120.00°. The inequivalent atoms are Ba at (0.0000, 0.5000, 0.0000), Tb at (0.0000, 0.5000, 0.5000), Pr at (0.0000, 0.0000, 0.5000), Te at (0.0000, 0.0000, 0.2390) and Te at (0.0127, 0.5063, 0.7594).



9.
The following is a PBE-GGA calculation of crystalline ScTaFe2 at its relaxed geometry, from the Alexandria database.

The formation energy from the elements comes out at 173 meV per atom. The calculation puts the excess energy over the best structure of this formula in the dataset at 392 meV/atom.

It has space group F-43m (No. 216), with a = 6.201 Å, b = 6.201 Å, c = 6.201 Å, α = 90.00°, β = 90.00° and γ = 90.00°. The inequivalent atoms are Sc at (0.000, 0.000, 0.000), Ta at (0.250, 0.250, 0.750), Fe at (0.000, 0.000, 0.500) and Fe at (0.250, 0.250, 0.250).



10.
The following is a PBE-GGA calculation of crystalline CeThBiAs at its relaxed geometry, from the Alexandria database.

The formation energy from the elements comes out at -980 meV per atom.

It has space group R3m (No. 160, hexagonal axes), with a = 4.3078 Å, b = 4.3078 Å, c = 22.9743 Å, α = 90.00°, β = 90.00° and γ = 120.00°. The inequivalent atoms are Ce at (0.0000, 0.0000, 0.0000), Th at (0.0000, 0.0000, 0.8115), Bi at (0.0000, 0.0000, 0.2388) and As at (0.0000, 0.0000, 0.4071).



Number 1: total magnetization 0.0 μB/cell, theoretical density 6.57 g/cm3. Number 2: total magnetization 0.0 μB/cell, theoretical density 8.94 g/cm3. Number 3: total magnetization 1.4 μB/cell, theoretical density 8.45 g/cm3. Number 4: total magnetization 0.0 μB/cell, theoretical density 9.72 g/cm3. Number 5: total magnetization 0.0 μB/cell, theoretical density 8.83 g/cm3. Number 6: total magnetization 2.7 μB/cell, theoretical density 6.45 g/cm3. Number 7: total magnetization 0.0 μB/cell, theoretical density 10.60 g/cm3. Number 8: total magnetization 0.0 μB/cell, theoretical density 6.00 g/cm3. Number 9: total magnetization 13.3 μB/cell, theoretical density 9.40 g/cm3. Number 10: total magnetization 2.6 μB/cell, theoretical density 8.85 g/cm3.